DFT (PBE) results for a geometry-optimized Na5In2Pb structure.

ΔH_f (0 K)	-0.055	eV/atom
offset from the most stable computed form	0	meV per atom
magnetization	0.0	Bohr magnetons per cell

a = 8.4333 Å, b = 8.4333 Å, c = 13.5814 Å
α = 90.00°, β = 90.00°, γ = 90.00°
Space group I4/mcm (No. 140)
Symmetry-distinct sites (fractional):
Na 0.0000 0.0000 0.0000 [4 per cell]
Na 0.1653 0.3347 0.1588 [16 per cell]
In 0.1296 0.3704 0.5000 [8 per cell]
Pb 0.0000 0.0000 0.2500 [4 per cell]